Record 1
This record from the Open Quantum Materials Database describes FeTcSnPt after structural relaxation. The functional is PBE.

a = 4.460 Å, b = 4.460 Å, c = 4.460 Å
α = 60.00°, β = 60.00°, γ = 60.00°
Fractional positions:
Sn: 0.000 0.000 0.000
Tc: 0.250 0.250 0.250
Pt: 0.500 0.500 0.500
Fe: 0.750 0.750 0.750

## Properties
Energy relative to the lowest polymorph listed for this composition = 0.0 kJ/mol of formula units


Record 2
This record from the Open Quantum Materials Database describes Zn2FeSnPt4 after structural relaxation. The functional is PBE.

a = 4.439 Å, b = 4.439 Å, c = 6.325 Å
α = 90.00°, β = 90.00°, γ = 90.00°
Each line ends with the local moment (μB).
Fractional positions:
Pt: 0.000 0.500 0.236  0.04
Pt: 0.000 0.500 0.764  0.04
Zn: 0.500 0.500 0.000  -0.01
Fe: 0.000 0.000 0.000  3.10
Sn: 0.500 0.500 0.500  0.00
Pt: 0.500 0.000 0.236  0.05
Zn: 0.000 0.000 0.500  -0.01
Pt: 0.500 0.000 0.764  0.05

## Properties
VASP energy = -5.211 eV per atom


Record 3
This record from the Open Quantum Materials Database describes ZnFeSnPt after structural relaxation. The functional is PBE.

a = 4.458 Å, b = 4.458 Å, c = 4.458 Å
α = 60.00°, β = 60.00°, γ = 60.00°
Fractional positions:
Zn: 0.500 0.500 0.500
Fe: 0.750 0.750 0.750
Pt: 0.250 0.250 0.250
Sn: 0.000 0.000 0.000

## Properties
Energy relative to the lowest polymorph listed for this composition = 0.0 kJ/mol of formula units


Record 4
This record from the Open Quantum Materials Database describes ZrFeSnPt after structural relaxation. The functional is PBE.

a = 4.618 Å, b = 4.618 Å, c = 4.618 Å
α = 60.00°, β = 60.00°, γ = 60.00°
Fractional positions:
Fe: 0.750 0.750 0.750
Pt: 0.250 0.250 0.250
Zr: 0.500 0.500 0.500
Sn: 0.000 0.000 0.000

## Properties
Energy relative to the lowest polymorph listed for this composition = 0.0 kJ/mol of formula units


Record 5
This record from the Open Quantum Materials Database describes ZrFeSnPt after structural relaxation. The functional is PBE.

a = 4.671 Å, b = 4.671 Å, c = 4.671 Å
α = 60.00°, β = 60.00°, γ = 60.00°
Fractional positions:
Fe: 0.750 0.750 0.750
Zr: 0.250 0.250 0.250
Sn: 0.000 0.000 0.000
Pt: 0.500 0.500 0.500

## Properties
Energy relative to the lowest polymorph listed for this composition = 78.7 kJ/mol of formula units


Record 6
This record from the Open Quantum Materials Database describes Sr3Fe2Pt2 after structural relaxation. The functional is PBE.

a = 12.613 Å, b = 12.613 Å, c = 12.613 Å
α = 19.59°, β = 19.59°, γ = 19.59°
Fractional positions:
Sr: 0.879 0.879 0.879
Pt: 0.020 0.020 0.020
Sr: 0.402 0.402 0.402
Fe: 0.145 0.145 0.145
Fe: 0.799 0.799 0.799
Pt: 0.488 0.488 0.488
Sr: 0.643 0.643 0.643

## Properties
VASP energy = -5.103 eV per atom


Record 7
This record from the Open Quantum Materials Database describes TaTlFePt after structural relaxation. The functional is PBE.

a = 4.566 Å, b = 4.566 Å, c = 4.566 Å
α = 60.00°, β = 60.00°, γ = 60.00°
Fractional positions:
Ta: 0.500 0.500 0.500
Fe: 0.750 0.750 0.750
Pt: 0.250 0.250 0.250
Tl: 0.000 0.000 0.000

## Properties
Energy relative to the lowest polymorph listed for this composition = 0.0 kJ/mol of formula units


Record 8
This record from the Open Quantum Materials Database describes TaTlFePt after structural relaxation. The functional is PBE.

a = 4.595 Å, b = 4.595 Å, c = 4.595 Å
α = 60.00°, β = 60.00°, γ = 60.00°
Fractional positions:
Fe: 0.750 0.750 0.750
Tl: 0.000 0.000 0.000
Pt: 0.500 0.500 0.500
Ta: 0.250 0.250 0.250

## Properties
Energy relative to the lowest polymorph listed for this composition = 68.8 kJ/mol of formula units


Record 9
This record from the Open Quantum Materials Database describes TaZnFePt after structural relaxation. The functional is PBE.

a = 4.358 Å, b = 4.358 Å, c = 4.358 Å
α = 60.00°, β = 60.00°, γ = 60.00°
Fractional positions:
Ta: 0.500 0.500 0.500
Zn: 0.000 0.000 0.000
Pt: 0.250 0.250 0.250
Fe: 0.750 0.750 0.750

## Properties
Energy relative to the lowest polymorph listed for this composition = 0.0 kJ/mol of formula units
Energy relative to the elements = -0.303 eV per atom


Record 10
This record from the Open Quantum Materials Database describes TaZnFePt after structural relaxation. The functional is PBE.

a = 4.412 Å, b = 4.412 Å, c = 4.412 Å
α = 60.00°, β = 60.00°, γ = 60.00°
Fractional positions:
Fe: 0.750 0.750 0.750
Ta: 0.250 0.250 0.250
Zn: 0.000 0.000 0.000
Pt: 0.500 0.500 0.500

## Properties
Energy relative to the lowest polymorph listed for this composition = 88.3 kJ/mol of formula units
Energy relative to the elements = -0.074 eV per atom


Record 11
This record from the Open Quantum Materials Database describes TlFeTcPt after structural relaxation. The functional is PBE.

a = 4.526 Å, b = 4.526 Å, c = 4.526 Å
α = 60.00°, β = 60.00°, γ = 60.00°
Fractional positions:
Fe: 0.750 0.750 0.750
Tc: 0.500 0.500 0.500
Pt: 0.250 0.250 0.250
Tl: 0.000 0.000 0.000

## Properties
Energy relative to the lowest polymorph listed for this composition = 0.0 kJ/mol of formula units


Record 12
This record from the Open Quantum Materials Database describes ZnFeTcPt after structural relaxation. The functional is PBE.

a = 4.316 Å, b = 4.316 Å, c = 4.316 Å
α = 60.00°, β = 60.00°, γ = 60.00°
Fractional positions:
Fe: 0.750 0.750 0.750
Zn: 0.000 0.000 0.000
Tc: 0.500 0.500 0.500
Pt: 0.250 0.250 0.250

## Properties
Energy relative to the lowest polymorph listed for this composition = 0.0 kJ/mol of formula units
Energy relative to the elements = 0.093 eV per atom


Record 13
This record from the Open Quantum Materials Database describes ThFePt after structural relaxation. The functional is PBE.

a = 4.451 Å, b = 4.451 Å, c = 4.451 Å
α = 60.00°, β = 60.00°, γ = 60.00°
Each line ends with the local moment (μB).
Fractional positions:
Pt: 0.750 0.750 0.750  0.13
Th: 0.250 0.250 0.250  -0.11
Fe: 0.000 0.000 0.000  1.76

## Properties
Energy relative to the elements = -0.298 eV per atom


Record 14
This record from the Open Quantum Materials Database describes TlFePt2 after structural relaxation. The functional is PBE.

a = 4.551 Å, b = 4.551 Å, c = 4.551 Å
α = 60.00°, β = 60.00°, γ = 60.00°
Fractional positions:
Pt: 0.000 0.000 0.000
Tl: 0.500 0.500 0.500
Fe: 0.250 0.250 0.250
Pt: 0.750 0.750 0.750

## Properties
VASP energy = -5.549 eV per atom


Record 15
This record from the Open Quantum Materials Database describes YTlFePt after structural relaxation. The functional is PBE.

a = 4.779 Å, b = 4.779 Å, c = 4.779 Å
α = 60.00°, β = 60.00°, γ = 60.00°
Fractional positions:
Y: 0.250 0.250 0.250
Tl: 0.000 0.000 0.000
Fe: 0.750 0.750 0.750
Pt: 0.500 0.500 0.500

## Properties
Energy relative to the lowest polymorph listed for this composition = 23.4 kJ/mol of formula units


Record 16
This record from the Open Quantum Materials Database describes YTlFePt after structural relaxation. The functional is PBE.

a = 4.735 Å, b = 4.735 Å, c = 4.735 Å
α = 60.00°, β = 60.00°, γ = 60.00°
Fractional positions:
Pt: 0.250 0.250 0.250
Tl: 0.000 0.000 0.000
Y: 0.500 0.500 0.500
Fe: 0.750 0.750 0.750

## Properties
Energy relative to the lowest polymorph listed for this composition = 0.0 kJ/mol of formula units


Record 17
This record from the Open Quantum Materials Database describes TlZnFePt after structural relaxation. The functional is PBE.

a = 4.539 Å, b = 4.539 Å, c = 4.539 Å
α = 60.00°, β = 60.00°, γ = 60.00°
Fractional positions:
Pt: 0.500 0.500 0.500
Fe: 0.750 0.750 0.750
Zn: 0.250 0.250 0.250
Tl: 0.000 0.000 0.000

## Properties
Energy relative to the lowest polymorph listed for this composition = 0.0 kJ/mol of formula units


Record 18
This record from the Open Quantum Materials Database describes TmFePt after structural relaxation. The functional is PBE.

a = 4.492 Å, b = 4.492 Å, c = 4.492 Å
α = 60.00°, β = 60.00°, γ = 60.00°
Fractional positions:
Tm: 0.000 0.000 0.000
Pt: 0.750 0.750 0.750
Fe: 0.250 0.250 0.250

## Properties
Energy relative to the elements = 0.231 eV per atom


Record 19
This record from the Open Quantum Materials Database describes TmFePt after structural relaxation. The functional is PBE.

a = 4.487 Å, b = 4.487 Å, c = 4.487 Å
α = 60.00°, β = 60.00°, γ = 60.00°
Fractional positions:
Fe: 0.250 0.250 0.250
Pt: 0.000 0.000 0.000
Tm: 0.750 0.750 0.750

## Properties
Energy relative to the elements = -0.338 eV per atom


Record 20
This record from the Open Quantum Materials Database describes UFePt after structural relaxation. The functional is PBE.

a = 4.253 Å, b = 4.253 Å, c = 4.253 Å
α = 60.00°, β = 60.00°, γ = 60.00°
Fractional positions:
Pt: 0.750 0.750 0.750
Fe: 0.000 0.000 0.000
U: 0.250 0.250 0.250

## Properties
Energy relative to the elements = -0.074 eV per atom


Record 21
This record from the Open Quantum Materials Database describes UFePt after structural relaxation. The functional is PBE.

a = 4.398 Å, b = 4.398 Å, c = 4.398 Å
α = 60.00°, β = 60.00°, γ = 60.00°
Each line ends with the local moment (μB).
Fractional positions:
U: 0.250 0.250 0.250  1.35
Pt: 0.500 0.500 0.500  -0.05
Fe: 0.000 0.000 0.000  -0.82

## Properties
Energy relative to the elements = 0.297 eV per atom


Record 22
This record from the Open Quantum Materials Database describes FePtW after structural relaxation. The functional is PBE.

a = 4.054 Å, b = 4.054 Å, c = 4.054 Å
α = 60.00°, β = 60.00°, γ = 60.00°
Fractional positions:
W: 0.750 0.750 0.750
Pt: 0.250 0.250 0.250
Fe: 0.000 0.000 0.000

## Properties
Energy relative to the lowest polymorph listed for this composition = 0.0 kJ/mol of formula units
Energy relative to the elements = 0.402 eV per atom


Record 23
This record from the Open Quantum Materials Database describes ZnFePtW after structural relaxation. The functional is PBE.

a = 4.331 Å, b = 4.331 Å, c = 4.331 Å
α = 60.00°, β = 60.00°, γ = 60.00°
Fractional positions:
Zn: 0.000 0.000 0.000
Pt: 0.250 0.250 0.250
W: 0.500 0.500 0.500
Fe: 0.750 0.750 0.750

## Properties
Energy relative to the lowest polymorph listed for this composition = 0.0 kJ/mol of formula units
Energy relative to the elements = 0.031 eV per atom


Record 24
This record from the Open Quantum Materials Database describes ZnFePtW after structural relaxation. The functional is PBE.

a = 4.349 Å, b = 4.349 Å, c = 4.349 Å
α = 60.00°, β = 60.00°, γ = 60.00°
Fractional positions:
Zn: 0.000 0.000 0.000
W: 0.250 0.250 0.250
Pt: 0.500 0.500 0.500
Fe: 0.750 0.750 0.750

## Properties
Energy relative to the lowest polymorph listed for this composition = 64.5 kJ/mol of formula units
Energy relative to the elements = 0.198 eV per atom


Record 25
This record from the Open Quantum Materials Database describes YFePt2 after structural relaxation. The functional is PBE.

a = 4.580 Å, b = 4.580 Å, c = 4.580 Å
α = 60.00°, β = 60.00°, γ = 60.00°
Each line ends with the local moment (μB).
Fractional positions:
Pt: 0.750 0.750 0.750  0.06
Y: 0.000 0.000 0.000  -0.09
Fe: 0.250 0.250 0.250  2.79
Pt: 0.500 0.500 0.500  0.21

## Properties
Energy relative to the elements = -0.406 eV per atom


Record 26
This record from the Open Quantum Materials Database describes ZnFePt6 after structural relaxation. The functional is PBE.

a = 3.926 Å, b = 3.926 Å, c = 7.810 Å
α = 90.00°, β = 90.00°, γ = 90.00°
Each line ends with the local moment (μB).
Fractional positions:
Pt: 0.500 0.500 0.000  0.09
Pt: 0.000 0.500 0.254  0.20
Zn: 0.000 0.000 0.000  -0.02
Fe: 0.000 0.000 0.500  3.23
Pt: 0.500 0.000 0.746  0.17
Pt: 0.500 0.000 0.254  0.17
Pt: 0.000 0.500 0.746  0.20
Pt: 0.500 0.500 0.500  0.22

## Properties
Energy relative to the elements = -0.283 eV per atom


Record 27
This record from the Open Quantum Materials Database describes ZrZnFePt after structural relaxation. The functional is PBE.

a = 4.526 Å, b = 4.526 Å, c = 4.526 Å
α = 60.00°, β = 60.00°, γ = 60.00°
Fractional positions:
Fe: 0.750 0.750 0.750
Zr: 0.250 0.250 0.250
Zn: 0.000 0.000 0.000
Pt: 0.500 0.500 0.500

## Properties
Energy relative to the lowest polymorph listed for this composition = 49.0 kJ/mol of formula units
Energy relative to the elements = -0.284 eV per atom


Record 28
This record from the Open Quantum Materials Database describes ZrZnFePt after structural relaxation. The functional is PBE.

a = 4.459 Å, b = 4.459 Å, c = 4.459 Å
α = 60.00°, β = 60.00°, γ = 60.00°
Fractional positions:
Fe: 0.750 0.750 0.750
Zr: 0.500 0.500 0.500
Pt: 0.250 0.250 0.250
Zn: 0.000 0.000 0.000

## Properties
Energy relative to the lowest polymorph listed for this composition = 0.0 kJ/mol of formula units
Energy relative to the elements = -0.411 eV per atom


Record 29
This record from the Open Quantum Materials Database describes ZrZn2FePt4 after structural relaxation. The functional is PBE.

a = 4.186 Å, b = 4.186 Å, c = 6.912 Å
α = 90.00°, β = 90.00°, γ = 90.00°
Each line ends with the local moment (μB).
Fractional positions:
Zn: 0.500 0.500 0.000  -0.02
Zn: 0.000 0.000 0.500  -0.02
Pt: 0.000 0.500 0.233  -0.01
Pt: 0.500 0.000 0.233  -0.04
Fe: 0.000 0.000 0.000  2.77
Pt: 0.000 0.500 0.767  -0.01
Zr: 0.500 0.500 0.500  -0.12
Pt: 0.500 0.000 0.767  -0.04

## Properties
Energy relative to the elements = -0.585 eV per atom


Record 30
This record from the Open Quantum Materials Database describes ZrFePt2 after structural relaxation. The functional is PBE.

a = 4.515 Å, b = 4.515 Å, c = 4.515 Å
α = 60.00°, β = 60.00°, γ = 60.00°
Fractional positions:
Zr: 0.500 0.500 0.500
Fe: 0.250 0.250 0.250
Pt: 0.750 0.750 0.750
Pt: 0.000 0.000 0.000

## Properties
Energy relative to the elements = -0.472 eV per atom


Taking the records one at a time from the top gives spin magnetization values of 1.66, 3.28, 1.97, 1.83, 2.51, 5.01, 1.94, 2.36, 1.08, 3.05, 4.23, 3.23, 1.68, 3.01, 2.93, 2.29, 3.01, 2.81, 3.07, 0.00, 0.98, 0.88, 1.93, 2.11, 2.91, 4.20, 3.15, 1.22, 2.46, 2.42 μB per formula unit.